# 1
{
  "formula": "FePW2",
  "functional": "PBE",
  "state": "optimized geometry",
  "formation_enthalpy_0k_ev_per_atom": -0.028,
  "vol_a3_per_cell": 53.91,
  "cell": [[2.9109, 0.0000, 0.0000], [0.0000, 3.7197, 0.0000], [-1.4463, 0.0000, 4.9791]],
  "species": ["Fe", "P", "W", "W"],
  "fractional_positions": [[0.0000, 0.0000, 0.0000], [0.1201, 0.5000, 0.2430], [0.3850, 0.5000, 0.7725], [0.7252, 0.0000, 0.4535]]
}



# 2
{
  "formula": "FeP2W",
  "functional": "PBE",
  "state": "optimized geometry",
  "formation_enthalpy_0k_ev_per_atom": 0.028,
  "vol_a3_per_cell": 54.66,
  "cell": [[1.4831, 0.8563, 7.1732], [-1.4831, 0.8563, 7.1732], [0.0000, -1.7125, 7.1732]],
  "species": ["Fe", "P", "P", "W"],
  "fractional_positions": [[0.0000, 0.0000, 0.0000], [0.2656, 0.2656, 0.2656], [0.5113, 0.5113, 0.5113], [0.7647, 0.7647, 0.7647]]
}



# 3
{
  "formula": "FePW",
  "functional": "PBE",
  "state": "optimized geometry",
  "formation_enthalpy_0k_ev_per_atom": -0.089,
  "vol_a3_per_cell": 41.73,
  "cell": [[0.0000, 2.7530, 2.7530], [2.7530, 0.0000, 2.7530], [2.7530, 2.7530, 0.0000]],
  "species": ["Fe", "P", "W"],
  "fractional_positions": [[0.0000, 0.0000, 0.0000], [0.7500, 0.7500, 0.7500], [0.2500, 0.2500, 0.2500]]
}



# 4
{
  "formula": "FeP2W",
  "functional": "PBE",
  "state": "optimized geometry",
  "formation_enthalpy_0k_ev_per_atom": 0.061,
  "vol_a3_per_cell": 58.04,
  "cell": [[2.7369, 0.0000, 0.0000], [0.0000, 2.7369, 0.0000], [0.0000, 0.0000, 7.7481]],
  "species": ["Fe", "P", "P", "W"],
  "fractional_positions": [[0.0000, 0.0000, 0.0000], [0.0000, 0.0000, 0.5281], [0.5000, 0.5000, 0.1645], [0.5000, 0.5000, 0.7625]]
}



# 5
{
  "formula": "FePW2",
  "functional": "PBE",
  "state": "optimized geometry",
  "formation_enthalpy_0k_ev_per_atom": 0.163,
  "vol_a3_per_cell": 54.85,
  "cell": [[2.7534, 0.0000, 0.0000], [0.0000, 3.8159, 0.0000], [-1.2190, 0.0000, 5.2209]],
  "species": ["Fe", "P", "W", "W"],
  "fractional_positions": [[0.0000, 0.0000, 0.0000], [0.0000, 0.0000, 0.5000], [0.4517, 0.5000, 0.7495], [0.5483, 0.5000, 0.2505]]
}



# 6
{
  "formula": "FePW2",
  "functional": "PBE",
  "state": "optimized geometry",
  "formation_enthalpy_0k_ev_per_atom": 0.389,
  "vol_a3_per_cell": 55.15,
  "cell": [[0.0000, 3.0211, 3.0211], [3.0211, 0.0000, 3.0211], [3.0211, 3.0211, 0.0000]],
  "species": ["Fe", "P", "W", "W"],
  "fractional_positions": [[0.0000, 0.0000, 0.0000], [0.2500, 0.2500, 0.2500], [0.5000, 0.5000, 0.5000], [0.7500, 0.7500, 0.7500]]
}



# 7
{
  "formula": "FeP2W2",
  "functional": "PBE",
  "state": "optimized geometry",
  "formation_enthalpy_0k_ev_per_atom": 0.011,
  "vol_a3_per_cell": 137.26,
  "cell": [[6.5758, 0.0000, 0.0000], [0.0000, 6.5758, 0.0000], [0.0000, 0.0000, 3.1742]],
  "species": ["Fe", "Fe", "P", "P", "P", "P", "W", "W", "W", "W"],
  "fractional_positions": [[0.0000, 0.0000, 0.0000], [0.5000, 0.5000, 0.0000], [0.1503, 0.3497, 0.0000], [0.3497, 0.8497, 0.0000], [0.6503, 0.1503, 0.0000], [0.8497, 0.6503, 0.0000], [0.1489, 0.6489, 0.5000], [0.3511, 0.1489, 0.5000], [0.6489, 0.8511, 0.5000], [0.8511, 0.3511, 0.5000]]
}



# 8
{
  "formula": "FePW",
  "functional": "PBE",
  "state": "optimized geometry",
  "formation_enthalpy_0k_ev_per_atom": 0.276,
  "vol_a3_per_cell": 46.37,
  "cell": [[0.0000, 2.8515, 2.8515], [2.8515, 0.0000, 2.8515], [2.8515, 2.8515, 0.0000]],
  "species": ["Fe", "P", "W"],
  "fractional_positions": [[0.0000, 0.0000, 0.0000], [0.5000, 0.5000, 0.5000], [0.2500, 0.2500, 0.2500]]
}